one) VASP calculation (PBE) on a relaxed AcPm4Nd2 crystal.

## Properties
calculated volume = 265.20 Å³/f.u.
mass density = 6.9 Mg/m³
spin magnetization = 0.0 μB per formula unit

POSCAR file:
```
AcPm4Nd2
1.0
5.907 0.000 0.000
0.000 9.476 0.000
0.000 0.000 9.476
Ac Pm Nd
2 8 4
Cartesian
0.000 4.738 4.738
2.953 0.000 0.000
0.000 3.664 1.195
2.953 1.074 5.933
0.000 1.195 3.664
2.953 8.402 3.543
2.953 5.933 1.074
0.000 8.281 5.812
0.000 5.812 8.281
2.953 3.543 8.402
0.000 7.612 1.864
2.953 6.602 6.602
2.953 2.874 2.874
0.000 1.864 7.612
```

---

two) VASP calculation (PBE) on a relaxed AcPm4Nd2 crystal.

## Properties
calculated volume = 260.75 Å³/f.u.
mass density = 7.0 Mg/m³
spin magnetization = 0.0 μB per formula unit

POSCAR file:
```
AcPm4Nd2
1.0
7.045 0.000 0.000
3.523 8.573 -0.969
3.523 1.874 8.422
Ac Nd Pm
2 4 8
Cartesian
5.284 4.287 -0.485
1.761 4.287 -0.485
3.523 0.000 0.000
7.045 9.207 3.025
7.045 1.241 4.428
7.045 5.224 3.726
9.020 3.408 5.973
5.070 7.040 1.479
7.045 1.419 0.989
7.045 9.029 6.463
10.568 6.621 4.746
5.070 3.408 5.973
3.523 3.827 2.707
9.020 7.040 1.479
```

---

So which one is most stable? That would be one), about 0.056 eV/atom below the next structure.

---

one) VASP calculation (PBE) on a relaxed AcPm2Nd8 crystal.

## Properties
calculated volume = 410.18 Å³/f.u.
mass density = 6.8 Mg/m³
spin magnetization = 0.0 μB per formula unit

POSCAR file:
```
AcPm2Nd8
1.0
5.695 -0.523 -0.365
0.418 10.194 2.708
0.418 6.051 8.640
Nd Pm Ac
8 2 1
Cartesian
4.676 10.870 5.549
1.829 8.716 6.088
1.479 2.950 2.061
4.676 8.951 8.296
4.703 7.006 4.894
1.855 4.853 5.433
5.052 12.772 8.922
1.855 6.771 2.686
2.033 11.483 8.021
4.498 4.239 2.961
0.000 0.000 0.000
```

---

two) VASP calculation (PBE) on a relaxed AcPm2Nd8 crystal.

## Properties
calculated volume = 400.29 Å³/f.u.
mass density = 6.9 Mg/m³
spin magnetization = 0.0 μB per formula unit

POSCAR file:
```
AcPm2Nd8
1.0
5.439 0.000 -1.651
-1.052 7.787 -3.463
-0.033 -0.437 9.673
Nd Pm Ac
8 2 1
Cartesian
2.603 6.472 -1.208
3.030 3.309 0.197
5.094 1.873 6.995
-0.740 5.478 -2.436
3.668 6.252 2.298
1.324 4.041 4.362
0.686 1.099 2.260
1.751 0.879 5.767
0.340 5.279 1.121
4.014 2.072 3.438
2.719 0.000 -0.826
```

---

So which one is most stable? That would be two), about 0.013 eV/atom below the next structure.

---

one) VASP calculation (PBE) on a relaxed Ac2Pm7Nd2 crystal.

## Properties
calculated volume = 406.33 Å³/f.u.
mass density = 7.2 Mg/m³
spin magnetization = 0.0 μB per formula unit

POSCAR file:
```
Ac2Pm7Nd2
1.0
0.081 -6.793 -5.974
-4.449 -0.175 4.437
-8.164 3.166 -2.273
Nd Pm Ac
2 7 2
Cartesian
-4.072 -0.916 0.333
-8.459 -2.885 -4.143
-4.970 -2.744 -2.804
-6.975 0.697 2.323
-5.557 -4.499 -6.132
-1.303 -2.590 -1.792
-11.229 -1.211 -2.018
0.000 0.000 0.000
-7.562 -1.057 -1.005
-10.157 0.730 0.752
-2.375 -4.531 -4.562
```

---

two) VASP calculation (PBE) on a relaxed Ac2Pm7Nd2 crystal.

## Properties
calculated volume = 412.38 Å³/f.u.
mass density = 7.1 Mg/m³
spin magnetization = 0.0 μB per formula unit

POSCAR file:
```
Ac2Pm7Nd2
1.0
8.764 -0.792 -1.143
-1.805 6.852 3.628
-1.805 0.991 7.690
Pm Nd Ac
7 2 2
Cartesian
5.140 0.350 3.664
0.000 0.000 0.000
0.014 6.701 6.511
5.140 3.308 1.614
0.014 3.743 8.560
-0.590 3.264 4.710
5.743 3.787 5.465
7.191 0.675 0.974
-2.038 6.376 9.201
2.577 2.046 6.112
2.577 5.005 4.062
```

---

So which one is most stable? That would be one), about 0.097 eV/atom below the next structure.

---

one) VASP calculation (PBE) on a relaxed Ac3Pm2Nd crystal.

## Properties
calculated volume = 243.83 Å³/f.u.
mass density = 7.6 Mg/m³
spin magnetization = 0.0 μB per formula unit

POSCAR file:
```
Ac3Pm2Nd
1.0
3.700 0.000 0.000
0.000 6.373 0.000
-1.850 -3.187 10.341
Pm Ac Nd
2 3 1
Cartesian
1.850 3.187 2.868
0.000 0.000 7.474
0.000 3.187 0.000
0.000 0.000 3.868
1.850 3.187 6.474
0.000 0.000 0.000
```

---

two) VASP calculation (PBE) on a relaxed Ac3Pm2Nd crystal.

## Properties
calculated volume = 238.67 Å³/f.u.
mass density = 7.8 Mg/m³
spin magnetization = 0.0 μB per formula unit

POSCAR file:
```
Ac3Pm2Nd
1.0
7.099 0.261 1.182
-1.861 9.144 1.492
-0.390 -0.261 7.186
Pm Ac Nd
4 6 2
Cartesian
4.867 5.727 6.392
-0.020 3.417 3.468
2.388 7.989 8.379
2.459 1.155 1.481
0.868 4.216 7.296
3.264 2.286 5.024
6.002 0.356 3.180
-1.155 8.788 6.680
3.979 4.928 2.564
1.583 6.858 4.835
-0.581 6.858 2.135
5.429 2.286 7.725
```

---

So which one is most stable? That would be two), about 0.251 eV/atom below the next structure.

---

one) VASP calculation (PBE) on a relaxed Ac2Pm8Nd crystal.

## Properties
calculated volume = 412.96 Å³/f.u.
mass density = 7.1 Mg/m³
spin magnetization = 0.0 μB per formula unit

POSCAR file:
```
Ac2Pm8Nd
1.0
5.727 -0.411 -0.287
0.312 10.276 2.806
0.312 6.171 8.683
Pm Ac Nd
8 2 1
Cartesian
4.585 8.998 8.336
1.406 2.819 1.969
4.659 7.186 5.019
4.585 10.924 5.580
1.693 8.851 6.183
1.767 5.113 5.622
1.767 7.038 2.865
4.946 13.217 9.233
4.435 4.326 3.022
1.917 11.710 8.180
0.000 0.000 0.000
```

---

two) VASP calculation (PBE) on a relaxed Ac2Pm8Nd crystal.

## Properties
calculated volume = 405.59 Å³/f.u.
mass density = 7.2 Mg/m³
spin magnetization = 0.0 μB per formula unit

POSCAR file:
```
Ac2Pm8Nd
1.0
6.488 1.209 2.351
2.282 8.613 5.787
1.777 3.154 9.989
Pm Ac Nd
8 2 1
Cartesian
4.154 9.075 12.291
6.814 7.080 7.333
6.576 4.498 9.320
7.107 7.769 10.949
3.732 5.896 10.794
3.439 5.207 7.179
3.971 8.477 8.807
6.393 3.900 5.836
3.479 2.864 4.139
7.067 10.112 13.988
0.000 0.000 0.000
```

---

So which one is most stable? That would be two), about 0.040 eV/atom below the next structure.

---

one) VASP calculation (PBE) on a relaxed AcPm2Nd crystal.

## Properties
calculated volume = 148.40 Å³/f.u.
mass density = 7.4 Mg/m³
spin magnetization = 0.0 μB per formula unit

POSCAR file:
```
AcPm2Nd
1.0
3.764 0.000 0.000
1.882 3.260 0.000
1.882 1.087 12.095
Nd Pm Ac
1 2 1
Cartesian
0.000 0.000 0.000
5.646 3.260 9.147
1.882 1.087 2.948
3.764 2.173 6.048
```

---

two) VASP calculation (PBE) on a relaxed AcPm2Nd crystal.

## Properties
calculated volume = 148.87 Å³/f.u.
mass density = 7.4 Mg/m³
spin magnetization = 0.0 μB per formula unit

POSCAR file:
```
AcPm2Nd
1.0
-0.299 0.238 3.742
1.986 -2.320 2.196
9.687 7.325 2.198
Pm Ac Nd
2 1 1
Cartesian
2.767 1.243 2.032
7.483 5.388 2.145
5.685 2.619 4.068
1.127 -1.386 3.959
```

---

So which one is most stable? That would be one), about 0.005 eV/atom below the next structure.

---

one) VASP calculation (PBE) on a relaxed AcPm2Nd crystal.

## Properties
calculated volume = 148.55 Å³/f.u.
mass density = 7.4 Mg/m³
spin magnetization = 0.0 μB per formula unit

POSCAR file:
```
AcPm2Nd
1.0
-0.291 -3.711 -0.588
3.667 -0.152 -0.855
2.271 -1.771 10.054
Nd Pm Ac
1 2 1
Cartesian
1.688 -1.932 -0.722
1.727 -1.347 7.647
0.544 -0.424 2.407
2.824 -2.817 4.305
```

---

two) VASP calculation (PBE) on a relaxed AcPm2Nd crystal.

## Properties
calculated volume = 148.68 Å³/f.u.
mass density = 7.4 Mg/m³
spin magnetization = 0.0 μB per formula unit

POSCAR file:
```
AcPm2Nd
1.0
-4.959 2.098 2.524
-5.030 0.332 -3.154
-4.512 -3.682 1.203
Ac Pm Nd
1 2 1
Cartesian
0.000 0.000 0.000
-3.625 -0.313 0.143
-10.875 -0.939 0.430
-7.250 -0.626 0.287
```

---

So which one is most stable? That would be one), about 0.105 eV/atom below the next structure.

---

one) VASP calculation (PBE) on a relaxed AcPm3Nd5 crystal.

## Properties
calculated volume = 326.79 Å³/f.u.
mass density = 7.0 Mg/m³
spin magnetization = 0.0 μB per formula unit

POSCAR file:
```
AcPm3Nd5
1.0
9.647 0.000 0.000
-4.824 9.098 -0.976
0.000 0.787 7.361
Nd Pm Ac
10 6 2
Cartesian
-1.689 6.854 6.687
6.515 3.419 3.333
3.132 3.812 7.013
1.692 6.073 -0.628
6.683 0.197 1.840
3.134 3.425 3.380
2.965 0.590 5.521
6.513 3.031 -0.301
1.689 6.461 3.006
-1.692 6.467 3.053
-0.015 3.856 5.171
0.015 3.462 1.490
0.000 0.394 3.681
4.809 6.423 4.895
0.000 0.000 0.000
4.838 6.030 1.214
3.159 0.197 1.840
6.488 0.590 5.521
```

---

two) VASP calculation (PBE) on a relaxed AcPm3Nd5 crystal.

## Properties
calculated volume = 372.45 Å³/f.u.
mass density = 6.2 Mg/m³
spin magnetization = 0.0 μB per formula unit

POSCAR file:
```
AcPm3Nd5
1.0
-3.591 -0.671 7.883
4.598 -6.970 2.401
7.825 -0.079 11.779
Nd Ac Pm
10 2 6
Cartesian
2.869 -0.755 11.449
1.830 -3.787 13.380
5.210 -5.064 13.602
7.001 -3.933 8.683
-1.493 -2.285 6.479
7.486 -2.717 14.305
1.345 -5.003 7.758
3.621 -2.656 8.462
5.962 -6.965 10.614
2.500 -5.356 3.805
1.965 -0.029 2.969
6.866 -7.691 19.094
5.658 -2.626 11.469
3.173 -5.094 10.594
3.912 -0.039 5.890
1.666 -2.557 5.427
0.000 0.000 0.000
7.165 -5.163 16.636
```

---

So which one is most stable? That would be one), about 0.352 eV/atom below the next structure.

---

one) VASP calculation (PBE) on a relaxed Ac4Pm3Nd2 crystal.

## Properties
calculated volume = 358.00 Å³/f.u.
mass density = 7.6 Mg/m³
spin magnetization = 0.0 μB per formula unit

POSCAR file:
```
Ac4Pm3Nd2
1.0
-0.062 1.239 -3.614
-3.023 -1.839 1.441
-10.883 24.670 8.648
Nd Ac Pm
2 4 3
Cartesian
-1.950 2.254 -1.213
-10.604 21.871 5.663
-3.354 5.437 -0.098
-5.724 10.810 1.786
-5.971 13.536 4.745
-8.354 18.937 6.638
-8.205 16.433 3.757
-10.691 24.234 8.495
-3.473 7.872 2.760
```

---

two) VASP calculation (PBE) on a relaxed Ac4Pm3Nd2 crystal.

## Properties
calculated volume = 352.46 Å³/f.u.
mass density = 7.7 Mg/m³
spin magnetization = 0.0 μB per formula unit

POSCAR file:
```
Ac4Pm3Nd2
1.0
-4.299 -3.292 -0.538
1.453 -6.057 -1.982
3.149 -5.651 9.395
Pm Ac Nd
3 4 2
Cartesian
0.452 -5.637 3.379
-0.149 -9.363 3.496
0.000 0.000 0.000
0.903 -11.257 6.669
-0.600 -3.743 0.206
-2.175 -7.090 5.714
2.479 -7.910 1.161
1.514 -7.519 6.409
-1.211 -7.481 0.466
```

---

So which one is most stable? That would be two), about 0.050 eV/atom below the next structure.

---

one) VASP calculation (PBE) on a relaxed AcPm3Nd7 crystal.

## Properties
calculated volume = 407.72 Å³/f.u.
mass density = 6.8 Mg/m³
spin magnetization = 0.0 μB per formula unit

POSCAR file:
```
AcPm3Nd7
1.0
-4.066 -1.854 -4.952
-1.820 -6.902 3.344
-6.542 2.180 3.820
Ac Nd Pm
1 7 3
Cartesian
-6.213 -3.288 1.106
-3.973 -0.064 0.587
-2.313 -3.257 0.419
-8.454 -6.513 1.626
-4.181 -2.361 3.582
-5.194 -2.581 -2.274
-7.233 -3.996 4.487
-10.114 -3.320 1.794
-2.033 -0.927 -2.476
-5.728 0.615 3.738
-2.633 -5.338 3.426
```

---

two) VASP calculation (PBE) on a relaxed AcPm3Nd7 crystal.

## Properties
calculated volume = 406.15 Å³/f.u.
mass density = 6.8 Mg/m³
spin magnetization = 0.4 μB per formula unit

POSCAR file:
```
AcPm3Nd7
1.0
-4.560 1.371 3.909
-3.059 -4.168 -6.984
3.316 -7.842 1.740
Pm Ac Nd
3 1 7
Cartesian
-2.280 0.686 1.955
1.967 -7.064 -0.105
-1.711 -4.945 -5.139
-2.152 -5.319 -0.668
-3.451 -8.536 -1.072
-0.852 -2.103 -0.263
-4.423 -0.772 -0.045
-1.903 -2.225 3.405
0.128 -6.005 -2.622
0.120 -9.866 -1.290
-2.401 -8.414 -4.740
```

---

So which one is most stable? That would be one), about 0.039 eV/atom below the next structure.

---

one) VASP calculation (PBE) on a relaxed AcPm7Nd4 crystal.

## Properties
calculated volume = 440.35 Å³/f.u.
mass density = 6.9 Mg/m³
spin magnetization = 0.0 μB per formula unit

POSCAR file:
```
AcPm7Nd4
1.0
6.248 0.000 0.000
3.124 11.342 -0.290
3.124 0.140 6.211
Nd Pm Ac
4 7 1
Cartesian
6.248 2.607 3.113
9.371 7.814 4.892
3.124 3.668 1.029
6.248 8.875 2.808
6.248 5.679 1.361
3.124 7.565 1.183
9.371 3.916 4.738
6.248 5.802 4.560
3.124 0.983 3.004
9.371 10.499 2.917
3.124 0.000 0.000
0.000 0.000 0.000
```

---

two) VASP calculation (PBE) on a relaxed AcPm7Nd4 crystal.

## Properties
calculated volume = 427.59 Å³/f.u.
mass density = 7.1 Mg/m³
spin magnetization = 0.0 μB per formula unit

POSCAR file:
```
AcPm7Nd4
1.0
7.109 1.947 0.884
5.269 7.904 2.488
-1.021 -0.439 9.137
Pm Nd Ac
7 4 1
Cartesian
6.965 4.978 11.044
6.355 3.130 4.309
3.555 0.973 0.442
5.003 6.281 8.200
3.646 5.593 4.866
4.392 4.433 1.465
7.711 3.818 7.643
7.241 6.574 5.316
8.545 7.280 8.682
4.116 2.838 7.192
2.812 2.132 3.826
0.000 0.000 0.000
```

---

So which one is most stable? That would be two), about 0.236 eV/atom below the next structure.